# 1
{
  "formula": "BaSr2ZrS",
  "functional": "PBE-GGA",
  "state": "relaxed",
  "lattice_angstrom": [[6.743, 0.000, 0.000], [0.000, 5.536, 0.000], [0.000, 0.000, 6.743]],
  "species": ["S", "Sr", "Zr", "Ba", "Sr"],
  "fractional_positions": [[0.000, 0.500, 0.000], [0.500, 0.000, 0.000], [0.500, 0.500, 0.500], [0.000, 0.000, 0.000], [0.000, 0.000, 0.500]],
  "spacegroup": "P4/mmm",
  "raw_formation_energy_ev_per_atom": 0.854
}



# 2
{
  "formula": "ErCoCuPb",
  "functional": "PBE-GGA",
  "state": "relaxed",
  "lattice_angstrom": [[4.684, 0.000, 0.000], [2.342, 4.056, 0.000], [2.342, 1.352, 3.824]],
  "species": ["Er", "Cu", "Co", "Pb"],
  "fractional_positions": [[0.000, 0.000, 0.000], [0.250, 0.250, 0.250], [0.750, 0.750, 0.750], [0.500, 0.500, 0.500]],
  "spacegroup": "F-43m",
  "e_form_ev_per_fu": -0.16
}



Short version: theoretical density = 2.9 11.4 Mg/m³, in the order given.